The following is a PBE-GGA calculation of crystalline Zr3Co3Ni2 at its relaxed geometry, from the Open Quantum Materials Database.

POSCAR file:
```
Zr3Co3Ni2
1.0
-0.944 3.114 -2.780
-4.248 1.317 2.918
3.929 2.977 2.000
Co Ni Zr
3 2 3
Direct
0.500 0.087 0.087 Co
0.000 0.876 0.375 Co
0.000 0.375 0.876 Co
0.000 0.378 0.378 Ni
0.500 0.660 0.660 Ni
0.500 0.583 0.160 Zr
0.500 0.160 0.583 Zr
0.000 0.880 0.880 Zr
```

## Properties
The energy above the most stable polymorph in this dataset comes out at 0.000 eV per atom.

=====

The following is a PBE-GGA calculation of crystalline LiTbInAg at its relaxed geometry, from the Open Quantum Materials Database.

POSCAR file:
```
LiTbInAg
1.0
-0.006 0.796 4.818
1.243 4.385 1.752
-3.398 2.885 1.994
Ag In Li Tb
1 1 1 1
Direct
0.000 0.000 0.000 Ag
0.250 0.250 0.250 In
0.500 0.500 0.500 Li
0.750 0.750 0.750 Tb
```

## Properties
The value obtained for the total energy is -3.42 eV per atom.

=====

The following is a PBE-GGA calculation of crystalline ZnInNiPd at its relaxed geometry, from the Open Quantum Materials Database.

POSCAR file:
```
ZnInNiPd
1.0
0.000 3.118 3.118
3.118 0.000 3.118
3.118 3.118 0.000
In Ni Pd Zn
1 1 1 1
Direct
0.000 0.000 0.000 In
0.750 0.750 0.750 Ni
0.250 0.250 0.250 Pd
0.500 0.500 0.500 Zn
```

## Properties
The value obtained for the total energy is -4.00 eV per atom.

=====

The following is a PBE-GGA calculation of crystalline TlCoHgOs at its relaxed geometry, from the Open Quantum Materials Database.

POSCAR file:
```
TlCoHgOs
1.0
0.000 3.251 3.251
3.251 0.000 3.251
3.251 3.251 0.000
Co Hg Os Tl
1 1 1 1
Direct
0.750 0.750 0.750 Co
0.500 0.500 0.500 Hg
0.250 0.250 0.250 Os
0.000 0.000 0.000 Tl
```

## Properties
The energy above the most stable polymorph in this dataset comes out at 0.000 eV per atom.

=====

The following is a PBE-GGA calculation of crystalline YGeIr3 at its relaxed geometry, from the Open Quantum Materials Database.

POSCAR file:
```
YGeIr3
1.0
4.036 -6.992 0.000
4.036 6.992 0.000
0.000 0.000 4.974
Ge Ir Y
2 6 2
Direct
0.000 0.000 0.000 Ge
0.000 0.000 0.500 Ge
0.855 0.145 0.250 Ir
0.291 0.146 0.250 Ir
0.854 0.709 0.250 Ir
0.146 0.291 0.750 Ir
0.709 0.854 0.750 Ir
0.145 0.855 0.750 Ir
0.667 0.333 0.250 Y
0.333 0.667 0.750 Y
```

## Properties
The value obtained for the total energy is -6.28 eV per atom.

=====

The following is a PBE-GGA calculation of crystalline Dy3Mg3CdHg2 at its relaxed geometry, from the Open Quantum Materials Database.

POSCAR file:
```
Dy3Mg3CdHg2
1.0
7.832 0.000 0.000
-3.916 6.782 0.000
0.000 0.000 4.182
Cd Dy Hg Mg
1 3 2 3
Direct
0.000 0.000 0.000 Cd
0.586 0.000 0.000 Dy
0.414 0.414 0.000 Dy
0.000 0.586 0.000 Dy
0.667 0.333 0.500 Hg
0.333 0.667 0.500 Hg
0.252 0.000 0.500 Mg
0.000 0.252 0.500 Mg
0.748 0.748 0.500 Mg
```

## Properties
The value obtained for the total energy is -2.57 eV per atom.